[1]
Material: Na2TmGaSe4
Method: DFT, PBE
State: relaxed

Unit cell a=8.1589 b=8.1589 c=8.2711 alpha=120.45 beta=120.45 gamma=90.86
With the nearest neighbours (Å) after each atom.
Atoms (fractional coordinates):
Se 0.7544 0.7465 0.9659  2 Ga 2.66-2.67, 1 Tm 2.87, 1 Na 2.97
Se 0.7535 0.7456 0.5341  2 Ga 2.66-2.67, 1 Tm 2.87, 1 Na 2.97
Se 0.2337 0.7498 0.9917  1 Ga 2.81, 2 Tm 2.82, 3 Na 2.91-3.00
Se 0.7664 0.2502 0.0083  1 Ga 2.81, 2 Tm 2.82, 3 Na 2.91-3.00
Se 0.2465 0.2544 0.4659  2 Ga 2.66-2.67, 1 Tm 2.87, 1 Na 2.97
Se 0.2456 0.2535 0.0341  2 Ga 2.66-2.67, 1 Tm 2.87, 1 Na 2.97
Se 0.2498 0.7336 0.4917  1 Ga 2.81, 2 Tm 2.82, 3 Na 2.91-3.00
Se 0.7502 0.2663 0.5083  1 Ga 2.81, 2 Tm 2.82, 3 Na 2.91-3.00
Na 0.5000 0.0000 0.5000  6 Se 2.91-2.97
Na 0.5000 0.5000 0.0000  6 Se 3.00-3.08
Na 0.0000 0.0000 0.5000  6 Se 3.00-3.08
Na 0.5000 0.0000 0.0000  6 Se 2.91-2.97
Tm 0.0000 0.5000 0.5000  6 Se 2.82-2.87
Tm 0.0000 0.5000 0.0000  6 Se 2.82-2.87
Ga 0.5000 0.5000 0.5000  6 Se 2.66-2.81
Ga 0.0000 0.0000 0.0000  6 Se 2.66-2.81

## Properties
As for the space group: Imma (74). The magnetization comes out at 0.00 μB per formula unit. The value obtained for the formation energy from raw total energies is -896 kJ/mol of formula units. The calculation puts the density of states at the Fermi level at 0.10 states/eV/atom.

[2]
Material: Li2SF
Method: DFT, PBE
State: relaxed

Unit cell a=3.0006 b=3.0006 c=6.2140 alpha=76.03 beta=76.03 gamma=60.00
With the nearest neighbours (Å) after each atom.
Atoms (fractional coordinates):
F 0.5000 0.5000 0.5000  6 Li 2.08
S 0.0000 0.0000 0.0000  6 Li 2.52
Li 0.2312 0.2312 0.3063  3 F 2.08
Li 0.7688 0.7688 0.6937  3 F 2.08

## Properties
As for the space group: R-3m (166). The magnetization comes out at 0.00 μB per formula unit. The calculation puts the energy above the lowest structure with this stoichiometry at 0.0000 eV/atom. The value obtained for the formation energy from raw total energies is -684 kJ/mol of formula units. The calculation puts the density of states at the Fermi level at 0.14 states/eV/atom.

[3]
Material: YHg
Method: DFT, PBE
State: relaxed

Unit cell a=10.6334 b=9.1677 c=6.5196 alpha=90.00 beta=90.00 gamma=90.00
With the nearest neighbours (Å) after each atom.
Atoms (fractional coordinates):
Y 0.8761 0.4573 0.7500  9 Hg 3.10-3.34
Y 0.3178 0.1334 0.2500  5 Hg 2.98-3.22
Y 0.8761 0.0427 0.2500  9 Hg 3.10-3.34
Y 0.1239 0.5427 0.2500  9 Hg 3.10-3.34
Y 0.3854 0.7500 0.0000  6 Hg 3.18-3.29, 2 Y 3.26
Y 0.6146 0.2500 0.5000  6 Hg 3.18-3.29, 2 Y 3.26
Y 0.6146 0.2500 0.0000  6 Hg 3.18-3.29, 2 Y 3.26
Y 0.6822 0.6334 0.2500  5 Hg 2.98-3.22
Y 0.6822 0.8666 0.7500  5 Hg 2.98-3.22
Y 0.3854 0.7500 0.5000  6 Hg 3.18-3.29, 2 Y 3.26
Y 0.1239 0.9573 0.7500  9 Hg 3.10-3.34
Y 0.3178 0.3666 0.7500  5 Hg 2.98-3.22
Hg 0.1410 0.6193 0.7500  7 Y 2.98-3.34, 2 Hg 3.14
Hg 0.0843 0.2500 0.5000  4 Hg 3.14-3.26, 6 Y 3.16-3.34
Hg 0.4215 0.0455 0.7500  7 Y 3.14-3.27
Hg 0.9157 0.7500 0.5000  4 Hg 3.14-3.26, 6 Y 3.16-3.34
Hg 0.9157 0.7500 0.0000  4 Hg 3.14-3.26, 6 Y 3.16-3.34
Hg 0.5785 0.9545 0.2500  7 Y 3.14-3.27
Hg 0.1410 0.8807 0.2500  7 Y 2.98-3.34, 2 Hg 3.14
Hg 0.8590 0.3807 0.2500  7 Y 2.98-3.34, 2 Hg 3.14
Hg 0.5785 0.5455 0.7500  7 Y 3.14-3.27
Hg 0.8590 0.1193 0.7500  7 Y 2.98-3.34, 2 Hg 3.14
Hg 0.0843 0.2500 0.0000  4 Hg 3.14-3.26, 6 Y 3.16-3.34
Hg 0.4215 0.4545 0.2500  7 Y 3.14-3.27

## Properties
As for the space group: Pbcm (57). The formation enthalpy at 0 K is -0.4376 eV per atom. The magnetization comes out at 0.00 μB per formula unit. The calculation puts the density of states at the Fermi level at 1.06 states/eV/atom.

[4]
Material: Th2PdRh3
Method: DFT, PBE
State: relaxed

Unit cell a=9.8877 b=9.8877 c=9.8581 alpha=132.65 beta=132.65 gamma=69.44
With the nearest neighbours (Å) after each atom.
Atoms (fractional coordinates):
Th 0.8973 0.6243 0.2150  4 Rh 2.62-2.93
Th 0.9322 0.1592 0.2850  4 Rh 2.62-2.93
Th 0.3757 0.1027 0.7850  4 Rh 2.62-2.93
Th 0.4092 0.6822 0.7850  4 Rh 2.62-2.93
Th 0.3178 0.5908 0.2150  4 Rh 2.62-2.93
Th 0.3527 0.1257 0.2850  4 Rh 2.62-2.93
Th 0.8743 0.6473 0.7150  4 Rh 2.62-2.93
Th 0.8408 0.0678 0.7150  4 Rh 2.62-2.93
Pd 0.8846 0.3846 0.7692  4 Rh 2.92-3.10, 4 Th 2.94-3.21, 1 Pd 3.00
Pd 0.3654 0.3654 0.7308  4 Rh 2.92-3.10, 4 Th 2.94-3.21, 1 Pd 3.00
Pd 0.6346 0.6346 0.2692  4 Rh 2.92-3.10, 4 Th 2.94-3.21, 1 Pd 3.00
Pd 0.6154 0.1154 0.2308  4 Rh 2.92-3.10, 4 Th 2.94-3.21, 1 Pd 3.00
Rh 0.0110 0.5110 0.5000  2 Th 2.62, 4 Rh 2.71-2.81
Rh 0.1250 0.8750 0.2500  4 Rh 2.71-3.00, 4 Th 2.73-3.02
Rh 0.7225 0.2775 0.0000  4 Rh 2.81-3.00, 4 Th 2.90-2.93, 2 Pd 2.92
Rh 0.7610 0.7610 0.0000  2 Th 2.62, 4 Rh 2.71-2.81
Rh 0.6250 0.8750 0.7500  4 Rh 2.71-3.00, 4 Th 2.73-3.02
Rh 0.2775 0.7225 0.0000  4 Rh 2.81-3.00, 4 Th 2.90-2.93, 2 Pd 2.92
Rh 0.1250 0.3750 0.2500  4 Rh 2.71-3.00, 4 Th 2.73-3.02
Rh 0.5275 0.4725 0.5000  4 Rh 2.81-3.00, 4 Th 2.90-2.93, 2 Pd 2.92
Rh 0.1250 0.8750 0.7500  4 Rh 2.71-3.00, 4 Th 2.73-3.02
Rh 0.4890 0.9890 0.5000  2 Th 2.62, 4 Rh 2.71-2.81
Rh 0.9725 0.0275 0.5000  4 Rh 2.81-3.00, 4 Th 2.90-2.93, 2 Pd 2.92
Rh 0.2390 0.2390 0.0000  2 Th 2.62, 4 Rh 2.71-2.81

## Properties
As for the space group: Fddd (70). The formation enthalpy at 0 K is -0.6742 eV per atom. The magnetization comes out at 0.00 μB per formula unit. The calculation puts the density of states at the Fermi level at 0.51 states/eV/atom.

Number 1: energy -4.17 eV/atom. Number 2: energy -4.23 eV/atom. Number 3: energy -3.82 eV/atom. Number 4: energy -7.69 eV/atom.